Material: Li4Cr3FeO8
Method: DFT, GGA+U
State: optimized geometry

Summary:
Crystal system ... monoclinic
DOS(E_F) ... 0.00 states/eV/f.u.
DFT total energy ... -211.59 eV/cell

Lattice parameters (Å, degrees): 10.2510 5.8985 5.1064 90.00 109.39 90.00
Space group C2/m (No. 12)
Asymmetric unit:
Li1 0.2485 0.0000 0.4909 (multiplicity 4)
Li2 0.2500 0.2500 0.0000 (multiplicity 4)
Cr1 0.0000 0.2481 0.5000 (multiplicity 4)
Cr2 0.0000 0.5000 0.0000 (multiplicity 2)
Fe1 0.0000 0.0000 0.0000 (multiplicity 2)
O1 0.1120 0.0000 0.7459 (multiplicity 4)
O2 0.1119 0.2465 0.2392 (multiplicity 8)
O3 0.1129 0.5000 0.7413 (multiplicity 4)